# NaTlIrO4 (GGA-PBE, relaxed)
# magnetic moment	1.0	μB per formula unit
# crystal system	orthorhombic
# mass density	7.629	Mg/m³
# formation energy without anion corrections	-944	meV per atom
data_NaTlIrO4
_chemical_formula_sum 'Na4 Tl4 Ir4 O16'
_cell_length_a 6.381
_cell_length_b 6.713
_cell_length_c 9.828
_cell_angle_alpha 90.00
_cell_angle_beta 90.00
_cell_angle_gamma 90.00
_symmetry_space_group_name_H-M 'I m m a'
_symmetry_Int_Tables_number 74
_symmetry_space_group_name_Hall '-I 2b 2'
loop_
_atom_site_label
_atom_site_fract_x
_atom_site_fract_y
_atom_site_fract_z
Na1 0.000 0.250 0.118
Tl1 0.000 0.000 0.500
Ir1 0.250 0.250 0.750
O1 0.000 0.057 0.743
O2 0.248 0.250 0.948

=====

# Mg8Zn3Ga2 (GGA-PBE, relaxed)
# formation energy from the elements	-49	meV per atom
# magnetic moment	0.0	μB per formula unit
# crystal system	orthorhombic
# mass density	3.190	Mg/m³
data_Mg8Zn3Ga2
_chemical_formula_sum 'Mg16 Zn6 Ga4'
_cell_length_a 9.067
_cell_length_b 13.521
_cell_length_c 4.502
_cell_angle_alpha 90.00
_cell_angle_beta 90.00
_cell_angle_gamma 90.00
_symmetry_space_group_name_H-M 'C m m m'
_symmetry_Int_Tables_number 65
_symmetry_space_group_name_Hall '-C 2 2'
loop_
_atom_site_label
_atom_site_fract_x
_atom_site_fract_y
_atom_site_fract_z
Mg1 0.000 0.118 0.000
Mg2 0.000 0.359 0.000
Mg3 0.249 0.371 0.500
Zn1 0.000 0.500 0.500
Zn2 0.231 0.500 0.000
Ga1 0.000 0.242 0.500

=====

# Pm3Sm4Ag4 (GGA-PBE, relaxed)
# formation energy from the elements	-91	meV per atom
# magnetic moment	0.0	μB per formula unit
# crystal system	orthorhombic
# mass density	7.687	Mg/m³
data_Pm3Sm4Ag4
_chemical_formula_sum 'Pm6 Sm8 Ag8'
_cell_length_a 5.146
_cell_length_b 7.573
_cell_length_c 16.272
_cell_angle_alpha 90.00
_cell_angle_beta 90.00
_cell_angle_gamma 90.00
_symmetry_space_group_name_H-M 'I m m m'
_symmetry_Int_Tables_number 71
_symmetry_space_group_name_Hall '-I 2 2'
loop_
_atom_site_label
_atom_site_fract_x
_atom_site_fract_y
_atom_site_fract_z
Pm1 0.000 0.000 0.000
Pm2 0.000 0.500 0.103
Sm1 0.000 0.276 0.325
Ag1 0.000 0.000 0.193
Ag2 0.000 0.186 0.500

=====

# Zn4ReRh (GGA-PBE, relaxed)
# formation energy from the elements	176	meV per atom
# magnetic moment	0.0	μB per formula unit
# crystal system	cubic
# mass density	11.039	Mg/m³
data_Zn4ReRh
_chemical_formula_sum 'Zn16 Re4 Rh4'
_cell_length_a 6.920
_cell_length_b 6.920
_cell_length_c 6.920
_cell_angle_alpha 90.00
_cell_angle_beta 90.00
_cell_angle_gamma 90.00
_symmetry_space_group_name_H-M 'F -4 3 m'
_symmetry_Int_Tables_number 216
_symmetry_space_group_name_Hall 'F -4 2 3'
loop_
_atom_site_label
_atom_site_fract_x
_atom_site_fract_y
_atom_site_fract_z
Zn1 0.124 0.124 0.124
Re1 0.250 0.250 0.750
Rh1 0.000 0.000 0.500

=====

# As2PPt (GGA-PBE, relaxed)
# formation energy from the elements	40	meV per atom
# magnetic moment	0.0	μB per formula unit
# crystal system	orthorhombic
# mass density	8.700	Mg/m³
data_As2PPt
_chemical_formula_sum 'As2 P1 Pt1'
_cell_length_a 2.724
_cell_length_b 3.573
_cell_length_c 7.372
_cell_angle_alpha 90.00
_cell_angle_beta 90.00
_cell_angle_gamma 90.00
_symmetry_space_group_name_H-M 'P m m m'
_symmetry_Int_Tables_number 47
_symmetry_space_group_name_Hall '-P 2 2'
loop_
_atom_site_label
_atom_site_fract_x
_atom_site_fract_y
_atom_site_fract_z
As1 0.000 0.000 0.248
P1 0.000 0.500 0.500
Pt1 0.000 0.500 0.000

=====

# Bi3As5Pb12 (GGA-PBE, relaxed)
# formation energy from the elements	108	meV per atom
# magnetic moment	0.0	μB per formula unit
# crystal system	cubic
# mass density	7.971	Mg/m³
data_Bi3As5Pb12
_chemical_formula_sum 'Bi24 As40 Pb96'
_cell_length_a 17.980
_cell_length_b 17.980
_cell_length_c 17.980
_cell_angle_alpha 90.00
_cell_angle_beta 90.00
_cell_angle_gamma 90.00
_symmetry_space_group_name_H-M 'I a -3 d'
_symmetry_Int_Tables_number 230
_symmetry_space_group_name_Hall '-I 4bd 2c 3'
loop_
_atom_site_label
_atom_site_fract_x
_atom_site_fract_y
_atom_site_fract_z
Bi1 0.000 0.250 0.125
As1 0.000 0.000 0.000
As2 0.000 0.250 0.375
Pb1 0.019 0.066 0.652

=====

# MgReN3 (GGA-PBE, relaxed)
# magnetic moment	0.0	μB per formula unit
# crystal system	monoclinic
# mass density	6.058	Mg/m³
# formation energy without anion corrections	-247	meV per atom
data_MgReN3
_chemical_formula_sum 'Mg8 Re8 N24'
_cell_length_a 10.833
_cell_length_b 9.185
_cell_length_c 6.058
_cell_angle_alpha 90.00
_cell_angle_beta 113.26
_cell_angle_gamma 90.00
_symmetry_space_group_name_H-M 'C 1 2/c 1'
_symmetry_Int_Tables_number 15
_symmetry_space_group_name_Hall '-C 2yc'
loop_
_atom_site_label
_atom_site_fract_x
_atom_site_fract_y
_atom_site_fract_z
Mg1 0.000 0.085 0.250
Mg2 0.000 0.271 0.750
Re1 0.209 0.412 0.208
N1 0.110 0.104 0.663
N2 0.133 0.246 0.209
N3 0.147 0.451 0.877

=====

# KTiMn2Ga (GGA-PBE, relaxed)
# formation energy from the elements	905	meV per atom
# magnetic moment	5.9	μB per formula unit
# crystal system	tetragonal
# mass density	2.754	Mg/m³
data_KTiMn2Ga
_chemical_formula_sum 'K1 Ti1 Mn2 Ga1'
_cell_length_a 5.256
_cell_length_b 5.256
_cell_length_c 5.816
_cell_angle_alpha 90.00
_cell_angle_beta 90.00
_cell_angle_gamma 90.00
_symmetry_space_group_name_H-M 'P 4/m m m'
_symmetry_Int_Tables_number 123
_symmetry_space_group_name_Hall '-P 4 2'
loop_
_atom_site_label
_atom_site_fract_x
_atom_site_fract_y
_atom_site_fract_z
K1 0.000 0.000 0.000
Ti1 0.500 0.500 0.500
Mn1 0.000 0.500 0.500
Ga1 0.500 0.500 0.000

=====

Here are the calculated DOS at the Fermi energy numbers, same order: 0.254 0.406 0.919 0.901 0.538 0.366 0.000 1.533 (states/eV per atom).